--- a ---
A relaxed structure of Y2TaCr, computed with GGA-PBE.

The structure belongs to space group I-4m2 (No. 119); the cell edges are 5.048, 5.048 and 7.114 Å and the angles 90.00°, 90.00° and 90.00°. The asymmetric unit holds Y at (0.000, 0.000, 0.000), Y at (0.000, 0.500, 0.250), Ta at (0.000, 0.500, 0.750) and Cr at (0.000, 0.000, 0.500).

--- b ---
A relaxed structure of Y2TaCr, computed with GGA-PBE.

The structure belongs to space group P4mm (No. 99); the cell edges are 3.332, 3.332 and 8.318 Å and the angles 90.00°, 90.00° and 90.00°. The asymmetric unit holds Y at (0.000, 0.000, 0.000), Y at (0.500, 0.500, 0.362), Ta at (0.000, 0.000, 0.624) and Cr at (0.500, 0.500, 0.764).

Energy ordering: b at the bottom, the next structure 30.5 kJ/mol of atoms above.

--- a ---
A relaxed structure of Y2TaCr, computed with GGA-PBE.

The structure belongs to space group Cmmm (No. 65); the cell edges are 6.958, 8.205 and 3.287 Å and the angles 90.00°, 90.00° and 90.00°. The asymmetric unit holds Y at (0.250, 0.250, 0.000), Ta at (0.000, 0.000, 0.500) and Cr at (0.000, 0.500, 0.500).

--- b ---
A relaxed structure of Y2TaCr, computed with GGA-PBE.

The structure belongs to space group R3m (No. 160, hexagonal axes); the cell edges are 3.2920, 3.2920 and 29.2898 Å and the angles 90.00°, 90.00° and 120.00°. The asymmetric unit holds Y at (0.0000, 0.0000, 0.0000), Y at (0.0000, 0.0000, 0.2216), Ta at (0.0000, 0.0000, 0.4663) and Cr at (0.0000, 0.0000, 0.7427).

Energy ordering: b at the bottom, the next structure 9.2 kJ/mol of atoms above.

--- a ---
A relaxed structure of YTa3Cr, computed with GGA-PBE.

The structure belongs to space group Pm-3m (No. 221); the cell edges are 4.847, 4.847 and 4.847 Å and the angles 90.00°, 90.00° and 90.00°. The asymmetric unit holds Y at (0.000, 0.000, 0.000), Ta at (0.000, 0.000, 0.500) and Cr at (0.500, 0.500, 0.500).

--- b ---
A relaxed structure of YTa3Cr, computed with GGA-PBE.

The structure belongs to space group Pm-3m (No. 221); the cell edges are 4.731, 4.731 and 4.731 Å and the angles 90.00°, 90.00° and 90.00°. The asymmetric unit holds Y at (0.000, 0.000, 0.000), Ta at (0.000, 0.500, 0.500) and Cr at (0.500, 0.500, 0.500).

Energy ordering: b at the bottom, the next structure 207.3 kJ/mol of atoms above.

--- a ---
A relaxed structure of TaZn2Cr, computed with GGA-PBE.

The structure belongs to space group Pmmm (No. 47); the cell edges are 3.685, 3.719 and 4.218 Å and the angles 90.00°, 90.00° and 90.00°. The asymmetric unit holds Ta at (0.000, 0.000, 0.000), Zn at (0.000, 0.500, 0.500), Zn at (0.500, 0.000, 0.500) and Cr at (0.500, 0.500, 0.000).

--- b ---
A relaxed structure of TaZn2Cr, computed with GGA-PBE.

The structure belongs to space group P4mm (No. 99); the cell edges are 2.669, 2.669 and 8.296 Å and the angles 90.00°, 90.00° and 90.00°. The asymmetric unit holds Ta at (0.000, 0.000, 0.000), Zn at (0.000, 0.000, 0.505), Zn at (0.500, 0.500, 0.263) and Cr at (0.500, 0.500, 0.733).

--- c ---
A relaxed structure of TaZn2Cr, computed with GGA-PBE.

The structure belongs to space group Cm (No. 8); the cell edges are 9.081, 2.625 and 4.983 Å and the angles 90.00°, 96.13° and 90.00°. The asymmetric unit holds Ta at (0.000, 0.000, 0.000), Zn at (0.000, 0.500, 0.492), Zn at (0.248, 0.000, 0.723) and Cr at (0.257, 0.500, 0.229).

Energy ordering: a at the bottom, the next structure 9.4 kJ/mol of atoms above.

--- a ---
A relaxed structure of TaZn2Cr, computed with GGA-PBE.

The structure belongs to space group Cmmm (No. 65); the cell edges are 3.759, 3.783 and 8.210 Å and the angles 90.00°, 90.00° and 90.00°. The asymmetric unit holds Ta at (0.000, 0.000, 0.000), Zn at (0.000, 0.500, 0.266) and Cr at (0.000, 0.000, 0.500).

--- b ---
A relaxed structure of TaZn2Cr, computed with GGA-PBE.

The structure belongs to space group Cmm2 (No. 35); the cell edges are 3.251, 4.307 and 8.543 Å and the angles 90.00°, 90.00° and 90.00°. The asymmetric unit holds Ta at (0.000, 0.000, 0.000), Zn at (0.000, 0.000, 0.520), Zn at (0.000, 0.500, 0.268) and Cr at (0.000, 0.500, 0.755).

--- c ---
A relaxed structure of TaZn2Cr, computed with GGA-PBE.

The structure belongs to space group R-3m (No. 166, hexagonal axes); the cell edges are 2.7472, 2.7472 and 27.5459 Å and the angles 90.00°, 90.00° and 120.00°. The asymmetric unit holds Ta at (0.0000, 0.0000, 0.0000), Zn at (0.0000, 0.0000, 0.2440) and Cr at (0.0000, 0.0000, 0.5000).

--- d ---
A relaxed structure of TaZn2Cr, computed with GGA-PBE.

The structure belongs to space group C2/m (No. 12); the cell edges are 5.245, 8.404 and 2.654 Å and the angles 90.00°, 91.44° and 90.00°. The asymmetric unit holds Ta at (0.000, 0.000, 0.000), Zn at (0.250, 0.250, 0.500) and Cr at (0.000, 0.500, 0.000).

Energy ordering: b at the bottom, the next structure 2.8 kJ/mol of atoms above.

--- a ---
A relaxed structure of TaZn2Cr, computed with GGA-PBE.

The structure belongs to space group Fm-3m (No. 225); the cell edges are 6.219, 6.219 and 6.219 Å and the angles 90.00°, 90.00° and 90.00°. The asymmetric unit holds Ta at (0.000, 0.000, 0.000), Zn at (0.250, 0.250, 0.250) and Cr at (0.000, 0.000, 0.500).

--- b ---
A relaxed structure of TaZn2Cr, computed with GGA-PBE.

The structure belongs to space group I-42d (No. 122); the cell edges are 6.962, 6.962 and 5.133 Å and the angles 90.00°, 90.00° and 90.00°. The asymmetric unit holds Ta at (0.000, 0.000, 0.000), Zn at (0.229, 0.750, 0.625) and Cr at (0.000, 0.000, 0.500).

Energy ordering: a at the bottom, the next structure 33.9 kJ/mol of atoms above.

--- a ---
A relaxed structure of TaZn2Cr, computed with GGA-PBE.

The structure belongs to space group F-43m (No. 216); the cell edges are 6.199, 6.199 and 6.199 Å and the angles 90.00°, 90.00° and 90.00°. The asymmetric unit holds Ta at (0.000, 0.000, 0.000), Zn at (0.000, 0.000, 0.500), Zn at (0.250, 0.250, 0.250) and Cr at (0.250, 0.250, 0.750).

--- b ---
A relaxed structure of TaZn2Cr, computed with GGA-PBE.

The structure belongs to space group Pmm2 (No. 25); the cell edges are 2.961, 3.510 and 5.893 Å and the angles 90.00°, 90.00° and 90.00°. The asymmetric unit holds Ta at (0.000, 0.000, 0.000), Zn at (0.000, 0.000, 0.518), Zn at (0.500, 0.500, 0.284) and Cr at (0.500, 0.500, 0.776).

--- c ---
A relaxed structure of TaZn2Cr, computed with GGA-PBE.

The structure belongs to space group I4/mmm (No. 139); the cell edges are 3.698, 3.698 and 8.437 Å and the angles 90.00°, 90.00° and 90.00°. The asymmetric unit holds Ta at (0.000, 0.000, 0.000), Zn at (0.000, 0.500, 0.250) and Cr at (0.000, 0.000, 0.500).

--- d ---
A relaxed structure of TaZn2Cr, computed with GGA-PBE.

The structure belongs to space group Pm (No. 6); the cell edges are 2.739, 4.236 and 5.099 Å and the angles 90.00°, 96.45° and 90.00°. The asymmetric unit holds Ta at (0.000, 0.000, 0.000), Zn at (0.574, 0.500, 0.241), Zn at (0.589, 0.000, 0.508) and Cr at (0.208, 0.500, 0.733).

Energy ordering: c at the bottom, the next structure 5.3 kJ/mol of atoms above.

--- a ---
A relaxed structure of TaZn2Cr, computed with GGA-PBE.

The structure belongs to space group Pmmm (No. 47); the cell edges are 2.658, 4.141 and 5.268 Å and the angles 90.00°, 90.00° and 90.00°. The asymmetric unit holds Ta at (0.000, 0.000, 0.000), Zn at (0.500, 0.500, 0.264) and Cr at (0.000, 0.000, 0.500).

--- b ---
A relaxed structure of TaZn2Cr, computed with GGA-PBE.

The structure belongs to space group Imm2 (No. 44); the cell edges are 3.165, 4.465 and 8.378 Å and the angles 90.00°, 90.00° and 90.00°. The asymmetric unit holds Ta at (0.000, 0.000, 0.000), Zn at (0.000, 0.000, 0.488), Zn at (0.000, 0.500, 0.228) and Cr at (0.000, 0.500, 0.734).

Energy ordering: a at the bottom, the next structure 4.5 kJ/mol of atoms above.

--- a ---
A relaxed structure of TaZn2Cr, computed with GGA-PBE.

The structure belongs to space group I-4m2 (No. 119); the cell edges are 3.837, 3.837 and 8.061 Å and the angles 90.00°, 90.00° and 90.00°. The asymmetric unit holds Ta at (0.000, 0.000, 0.000), Zn at (0.000, 0.000, 0.500), Zn at (0.000, 0.500, 0.750) and Cr at (0.000, 0.500, 0.250).

--- b ---
A relaxed structure of TaZn2Cr, computed with GGA-PBE.

The structure belongs to space group R3m (No. 160, hexagonal axes); the cell edges are 2.7571, 2.7571 and 27.6241 Å and the angles 90.00°, 90.00° and 120.00°. The asymmetric unit holds Ta at (0.0000, 0.0000, 0.0000), Zn at (0.0000, 0.0000, 0.2454), Zn at (0.0000, 0.0000, 0.4956) and Cr at (0.0000, 0.0000, 0.7519).

--- c ---
A relaxed structure of TaZn2Cr, computed with GGA-PBE.

The structure belongs to space group P4/mmm (No. 123); the cell edges are 3.014, 3.014 and 6.715 Å and the angles 90.00°, 90.00° and 90.00°. The asymmetric unit holds Ta at (0.000, 0.000, 0.000), Zn at (0.500, 0.500, 0.271) and Cr at (0.000, 0.000, 0.500).

Energy ordering: c at the bottom, the next structure 1.6 kJ/mol of atoms above.

--- a ---
A relaxed structure of TaZnCr3, computed with GGA-PBE.

The structure belongs to space group Pm-3m (No. 221); the cell edges are 4.513, 4.513 and 4.513 Å and the angles 90.00°, 90.00° and 90.00°. The asymmetric unit holds Ta at (0.000, 0.000, 0.000), Zn at (0.500, 0.500, 0.500) and Cr at (0.000, 0.000, 0.500).

--- b ---
A relaxed structure of TaZnCr3, computed with GGA-PBE.

The structure belongs to space group Pm-3m (No. 221); the cell edges are 4.461, 4.461 and 4.461 Å and the angles 90.00°, 90.00° and 90.00°. The asymmetric unit holds Ta at (0.000, 0.000, 0.000), Zn at (0.500, 0.500, 0.500) and Cr at (0.000, 0.500, 0.500).

Energy ordering: b at the bottom, the next structure 36.6 kJ/mol of atoms above.

--- a ---
A relaxed structure of ZrTa2Cr, computed with GGA-PBE.

The structure belongs to space group I4/mmm (No. 139); the cell edges are 3.947, 3.947 and 9.476 Å and the angles 90.00°, 90.00° and 90.00°. The asymmetric unit holds Zr at (0.000, 0.000, 0.000), Ta at (0.000, 0.500, 0.250) and Cr at (0.000, 0.000, 0.500).

--- b ---
A relaxed structure of ZrTa2Cr, computed with GGA-PBE.

The structure belongs to space group I-4m2 (No. 119); the cell edges are 4.639, 4.639 and 6.541 Å and the angles 90.00°, 90.00° and 90.00°. The asymmetric unit holds Zr at (0.000, 0.000, 0.000), Ta at (0.000, 0.000, 0.500), Ta at (0.000, 0.500, 0.750) and Cr at (0.000, 0.500, 0.250).

--- c ---
A relaxed structure of ZrTa2Cr, computed with GGA-PBE.

The structure belongs to space group C2/m (No. 12); the cell edges are 5.521, 9.337 and 2.912 Å and the angles 90.00°, 109.75° and 90.00°. The asymmetric unit holds Zr at (0.000, 0.000, 0.000), Ta at (0.250, 0.250, 0.500) and Cr at (0.000, 0.500, 0.000).

Energy ordering: b at the bottom, the next structure 5.7 kJ/mol of atoms above.